# 1
Computed, not measured: a relaxed BaSb2PbAu5 crystal at the PBE level of DFT.

For the uncorrected formation energy, the calculation gives -229.8 meV/atom.

Unit cell a=5.262 b=5.262 c=9.531 alpha=90.00 beta=90.00 gamma=90.00
Space group P4/mmm (No. 123)
Symmetry-distinct sites (fractional):
Ba 0.000 0.000 0.000 [1 per cell]
Sb 0.500 0.500 0.272 [2 per cell]
Pb 0.000 0.000 0.500 [1 per cell]
Au 0.000 0.500 0.333 [4 per cell]
Au 0.500 0.500 0.000 [1 per cell]

# 2
Computed, not measured: a relaxed Zr2As3 crystal at the PBE level of DFT.

The calculated formation energy is -57 kJ per mole of atoms. The value obtained for the offset from the most stable computed form is 0.420 eV/f.u.

Unit cell a=4.8167 b=4.8167 c=5.4291 alpha=90.00 beta=90.00 gamma=120.00
Space group P-3m1 (No. 164)
Symmetry-distinct sites (fractional):
Zr 0.3333 0.6667 0.2827 [2 per cell]
As 0.0000 0.0000 0.5000 [1 per cell]
As 0.3333 0.6667 0.7829 [2 per cell]

# 3
Computed, not measured: a relaxed PtRhPbO6 crystal at the PBE level of DFT.

For the uncorrected formation energy, the calculation gives -672.1 meV/atom.

Unit cell a=5.3297 b=5.3297 c=9.7011 alpha=90.00 beta=90.00 gamma=120.00
Space group P-31c (No. 163)
Symmetry-distinct sites (fractional):
Pt 0.3333 0.6667 0.2500 [2 per cell]
Rh 0.3333 0.6667 0.7500 [2 per cell]
Pb 0.0000 0.0000 0.0000 [2 per cell]
O 0.0018 0.3735 0.6385 [12 per cell]

# 4
Computed, not measured: a relaxed Ba2ErRu3O12 crystal at the PBE level of DFT.

For the uncorrected formation energy, the calculation gives -1622.5 meV/atom.

Unit cell a=7.2994 b=7.2994 c=17.1751 alpha=90.00 beta=90.00 gamma=120.00
Space group R-3m (No. 166, hexagonal axes)
Symmetry-distinct sites (fractional):
Ba 0.0000 0.0000 0.1260 [6 per cell]
Er 0.0000 0.0000 0.5000 [3 per cell]
Ru 0.0000 0.5000 0.0000 [9 per cell]
O 0.0025 0.5012 0.1130 [18 per cell]
O 0.0771 0.5385 0.3330 [18 per cell]

# 5
Computed, not measured: a relaxed ScAl2Ga4 crystal at the PBE level of DFT.

The calculated formation energy is -12 kJ per mole of atoms.

Unit cell a=8.453 b=8.453 c=7.434 alpha=90.00 beta=90.00 gamma=90.00
Space group I-42d (No. 122)
Symmetry-distinct sites (fractional):
Sc 0.000 0.000 0.000 [4 per cell]
Al 0.244 0.250 0.625 [8 per cell]
Ga 0.040 0.152 0.360 [16 per cell]

# 6
Computed, not measured: a relaxed SrLa2Tl4 crystal at the PBE level of DFT.

The calculated formation energy is -25 kJ per mole of atoms.

Unit cell a=9.546 b=5.521 c=9.766 alpha=90.00 beta=108.90 gamma=90.00
Space group C2/m (No. 12)
Symmetry-distinct sites (fractional):
Sr 0.000 0.000 0.000 [2 per cell]
La 0.244 0.000 0.732 [4 per cell]
Tl 0.117 0.500 0.850 [4 per cell]
Tl 0.127 0.000 0.380 [4 per cell]

# 7
Computed, not measured: a relaxed NiSe crystal at the PBE level of DFT.

For the uncorrected formation energy, the calculation gives -124.0 meV/atom.

Unit cell a=6.557 b=6.557 c=6.557 alpha=90.00 beta=90.00 gamma=90.00
Space group Pm-3n (No. 223)
Symmetry-distinct sites (fractional):
Ni 0.000 0.250 0.500 [6 per cell]
Se 0.000 0.500 0.250 [6 per cell]

# 8
Computed, not measured: a relaxed HfTlAs2 crystal at the PBE level of DFT.

The calculated formation energy is -42 kJ per mole of atoms. The value obtained for the offset from the most stable computed form is 0.000 eV/f.u.

Unit cell a=3.9086 b=3.9086 c=22.5030 alpha=90.00 beta=90.00 gamma=120.00
Space group R-3m (No. 166, hexagonal axes)
Symmetry-distinct sites (fractional):
Hf 0.0000 0.0000 0.0000 [3 per cell]
Tl 0.0000 0.0000 0.5000 [3 per cell]
As 0.0000 0.0000 0.2660 [6 per cell]

# 9
Computed, not measured: a relaxed MgCoB3 crystal at the PBE level of DFT.

The calculated formation energy is 67 kJ per mole of atoms. The value obtained for the offset from the most stable computed form is 0.000 eV/f.u.

Unit cell a=3.786 b=3.786 c=3.786 alpha=90.00 beta=90.00 gamma=90.00
Space group Pm-3m (No. 221)
Symmetry-distinct sites (fractional):
Mg 0.000 0.000 0.000 [1 per cell]
Co 0.500 0.500 0.500 [1 per cell]
B 0.000 0.500 0.500 [3 per cell]

# 10
Computed, not measured: a relaxed NaCaAcGe crystal at the PBE level of DFT.

The calculated formation energy is -22 kJ per mole of atoms.

Unit cell a=7.821 b=7.821 c=7.821 alpha=90.00 beta=90.00 gamma=90.00
Space group F-43m (No. 216)
Symmetry-distinct sites (fractional):
Na 0.000 0.000 0.000 [4 per cell]
Ca 0.250 0.250 0.750 [4 per cell]
Ac 0.250 0.250 0.250 [4 per cell]
Ge 0.000 0.000 0.500 [4 per cell]

# 11
Computed, not measured: a relaxed Nb2TcI crystal at the PBE level of DFT.

For the uncorrected formation energy, the calculation gives 675.4 meV/atom. The value obtained for the offset from the most stable computed form is 0.000 eV/f.u.

Unit cell a=6.654 b=6.654 c=6.654 alpha=90.00 beta=90.00 gamma=90.00
Space group Fm-3m (No. 225)
Symmetry-distinct sites (fractional):
Nb 0.250 0.250 0.250 [8 per cell]
Tc 0.000 0.000 0.000 [4 per cell]
I 0.000 0.000 0.500 [4 per cell]

# 12
Computed, not measured: a relaxed Re2SiAgN crystal at the PBE level of DFT.

For the uncorrected formation energy, the calculation gives 725.6 meV/atom.

Unit cell a=3.984 b=3.984 c=4.584 alpha=90.00 beta=90.00 gamma=90.00
Space group P4/mmm (No. 123)
Symmetry-distinct sites (fractional):
Re 0.000 0.500 0.000 [2 per cell]
Si 0.000 0.000 0.500 [1 per cell]
Ag 0.500 0.500 0.500 [1 per cell]
N 0.000 0.000 0.000 [1 per cell]

# 13
Computed, not measured: a relaxed Mn2CrP crystal at the PBE level of DFT.

The calculated formation energy is -17 kJ per mole of atoms.

Unit cell a=2.921 b=3.843 c=4.013 alpha=90.00 beta=90.00 gamma=90.00
Space group Pmmm (No. 47)
Symmetry-distinct sites (fractional):
Mn 0.000 0.000 0.000 [1 per cell]
Mn 0.500 0.000 0.500 [1 per cell]
Cr 0.000 0.500 0.500 [1 per cell]
P 0.500 0.500 0.000 [1 per cell]

# 14
Computed, not measured: a relaxed Ho2ErTm6 crystal at the PBE level of DFT.

The calculated formation energy is 2 kJ per mole of atoms.

Unit cell a=10.468 b=10.468 c=4.944 alpha=90.00 beta=90.00 gamma=90.00
Space group P4_2/mnm (No. 136)
Symmetry-distinct sites (fractional):
Ho 0.167 0.167 0.000 [4 per cell]
Er 0.000 0.000 0.500 [2 per cell]
Tm 0.000 0.334 0.500 [8 per cell]
Tm 0.167 0.833 0.000 [4 per cell]

# 15
Computed, not measured: a relaxed SrAg2Os crystal at the PBE level of DFT.

The calculated formation energy is 59 kJ per mole of atoms. The value obtained for the offset from the most stable computed form is 0.036 eV/f.u.

Unit cell a=2.809 b=4.821 c=6.084 alpha=90.00 beta=102.96 gamma=90.00
Space group Pm (No. 6)
Symmetry-distinct sites (fractional):
Sr 0.000 0.000 0.000 [1 per cell]
Ag 0.638 0.500 0.273 [1 per cell]
Ag 0.672 0.000 0.514 [1 per cell]
Os 0.323 0.500 0.702 [1 per cell]

# 16
Computed, not measured: a relaxed CoRe3Tc crystal at the PBE level of DFT.

The calculated formation energy is 159 kJ per mole of atoms. The value obtained for the offset from the most stable computed form is 0.000 eV/f.u.

Unit cell a=4.352 b=4.352 c=4.352 alpha=90.00 beta=90.00 gamma=90.00
Space group Pm-3m (No. 221)
Symmetry-distinct sites (fractional):
Co 0.000 0.000 0.000 [1 per cell]
Re 0.000 0.000 0.500 [3 per cell]
Tc 0.500 0.500 0.500 [1 per cell]

# 17
Computed, not measured: a relaxed LiYRu4 crystal at the PBE level of DFT.

The calculated formation energy is 6 kJ per mole of atoms.

Unit cell a=7.412 b=7.412 c=7.412 alpha=90.00 beta=90.00 gamma=90.00
Space group F-43m (No. 216)
Symmetry-distinct sites (fractional):
Li 0.000 0.000 0.000 [4 per cell]
Y 0.250 0.250 0.250 [4 per cell]
Ru 0.126 0.126 0.626 [16 per cell]

# 18
Computed, not measured: a relaxed LiNpScS4 crystal at the PBE level of DFT.

For the uncorrected formation energy, the calculation gives -1527.2 meV/atom.

Unit cell a=7.522 b=7.975 c=10.805 alpha=90.00 beta=90.00 gamma=90.00
Space group Imma (No. 74)
Symmetry-distinct sites (fractional):
Li 0.000 0.250 0.136 [4 per cell]
Np 0.000 0.000 0.500 [4 per cell]
Sc 0.250 0.250 0.750 [4 per cell]
S 0.000 0.025 0.746 [8 per cell]
S 0.239 0.250 0.509 [8 per cell]

# 19
Computed, not measured: a relaxed Rb2Ta3S8 crystal at the PBE level of DFT.

For the uncorrected formation energy, the calculation gives -1056.4 meV/atom.

Unit cell a=16.516 b=7.121 c=6.214 alpha=90.00 beta=105.76 gamma=90.00
Space group C2/m (No. 12)
Symmetry-distinct sites (fractional):
Rb 0.246 0.000 0.180 [4 per cell]
Ta 0.000 0.233 0.500 [4 per cell]
Ta 0.000 0.500 0.000 [2 per cell]
S 0.086 0.260 0.887 [8 per cell]
S 0.089 0.500 0.390 [4 per cell]
S 0.096 0.000 0.436 [4 per cell]

# 20
Computed, not measured: a relaxed KCaBeRu2 crystal at the PBE level of DFT.

The calculated formation energy is 77 kJ per mole of atoms.

Unit cell a=4.378 b=4.378 c=5.213 alpha=90.00 beta=90.00 gamma=90.00
Space group P4/mmm (No. 123)
Symmetry-distinct sites (fractional):
K 0.000 0.000 0.000 [1 per cell]
Ca 0.500 0.500 0.000 [1 per cell]
Be 0.000 0.000 0.500 [1 per cell]
Ru 0.000 0.500 0.500 [2 per cell]

| no. | DOS at the Fermi energy (states/eV/f.u.) |
| --- | --- |
| 1 | 3.816 |
| 2 | 5.015 |
| 3 | 6.634 |
| 4 | 13.726 |
| 5 | 2.668 |
| 6 | 4.317 |
| 7 | 1.675 |
| 8 | 2.262 |
| 9 | 2.084 |
| 10 | 2.405 |
| 11 | 7.061 |
| 12 | 3.190 |
| 13 | 4.042 |
| 14 | 11.491 |
| 15 | 2.769 |
| 16 | 9.461 |
| 17 | 8.063 |
| 18 | 9.732 |
| 19 | 2.982 |
| 20 | 3.624 |